Density functional theory data (GGA-PBE) for crystalline WSe at its relaxed geometry.

a = 3.126 Å, b = 3.126 Å, c = 9.697 Å
α = 90.00°, β = 90.00°, γ = 120.00°
Fractional positions:
W: 0.667 0.333 0.885
W: 0.333 0.667 0.115
Se: 0.667 0.333 0.297
Se: 0.333 0.667 0.703

Values from the calculation:
Energy relative to the elements, uncorrected (eV/atom): -0.168
Symmetry: No. 164
Total DFT energy (no corrections) (eV per atom): -8.386
Energy relative to the lowest polymorph listed for this composition (eV/f.u.): 0.00



Density functional theory data (GGA-PBE) for crystalline WSe at its relaxed geometry.

a = 3.641 Å, b = 3.655 Å, c = 7.375 Å
α = 89.80°, β = 89.67°, γ = 74.72°
Fractional positions:
W: 0.693 0.194 0.082
W: 0.307 0.806 0.918
Se: 0.321 0.823 0.269
Se: 0.679 0.177 0.731

Values from the calculation:
Energy relative to the elements, uncorrected (eV/atom): 0.030
Symmetry: No. 2
Total DFT energy (no corrections) (eV per atom): -8.189
Energy relative to the lowest polymorph listed for this composition (eV/f.u.): 0.39



Density functional theory data (GGA-PBE) for crystalline W3Se at its relaxed geometry.

a = 4.043 Å, b = 4.043 Å, c = 4.043 Å
α = 90.00°, β = 90.00°, γ = 90.00°
Fractional positions:
Se: 0.000 0.000 0.000
W: 0.000 0.500 0.500
W: 0.500 0.500 0.000
W: 0.500 0.000 0.500

Values from the calculation:
Energy relative to the elements, uncorrected (eV/atom): 0.946
Symmetry: No. 221
Total DFT energy (no corrections) (eV per atom): -9.640
Energy relative to the lowest polymorph listed for this composition (eV/f.u.): 2.20



Density functional theory data (GGA-PBE) for crystalline WSe3 at its relaxed geometry.

a = 2.926 Å, b = 2.926 Å, c = 10.676 Å
α = 90.00°, β = 90.00°, γ = 114.54°
Fractional positions:
W: 0.500 0.500 0.250
Se: 0.000 0.000 0.056
Se: 0.500 0.500 0.750
Se: 0.000 0.000 0.444

Values from the calculation:
Energy relative to the elements, uncorrected (eV/atom): 0.397
Symmetry: No. 65
Total DFT energy (no corrections) (eV per atom): -5.455
Energy relative to the lowest polymorph listed for this composition (eV/f.u.): 2.59



Density functional theory data (GGA-PBE) for crystalline WSe4 at its relaxed geometry.

a = 4.912 Å, b = 4.912 Å, c = 4.912 Å
α = 90.00°, β = 90.00°, γ = 90.00°
Fractional positions:
Se: 0.000 0.000 0.000
Se: 0.500 0.000 0.500
Se: 0.500 0.500 0.000
Se: 0.000 0.500 0.500
W: 0.500 0.500 0.500

Values from the calculation:
Energy relative to the elements, uncorrected (eV/atom): 0.453
Symmetry: No. 221
Total DFT energy (no corrections) (eV per atom): -4.925
Energy relative to the lowest polymorph listed for this composition (eV/f.u.): 0.00



Density functional theory data (GGA-PBE) for crystalline W3Se at its relaxed geometry.

a = 3.115 Å, b = 3.115 Å, c = 6.702 Å
α = 90.00°, β = 90.00°, γ = 90.00°
Fractional positions:
W: 0.500 0.500 0.256
W: 0.500 0.500 0.744
W: 0.000 0.000 0.500
Se: 0.000 0.000 0.000

Values from the calculation:
Energy relative to the elements, uncorrected (eV/atom): 0.397
Symmetry: No. 123
Total DFT energy (no corrections) (eV per atom): -10.189
Energy relative to the lowest polymorph listed for this composition (eV/f.u.): 0.00



Density functional theory data (GGA-PBE) for crystalline WSe at its relaxed geometry.

a = 3.234 Å, b = 6.036 Å, c = 12.171 Å
α = 90.00°, β = 90.00°, γ = 90.00°
Fractional positions:
W: 0.500 0.795 0.000
W: 0.000 0.205 0.500
W: 0.000 0.064 0.890
W: 0.500 0.936 0.610
W: 0.000 0.064 0.110
W: 0.500 0.936 0.390
Se: 0.500 0.257 0.748
Se: 0.000 0.743 0.248
Se: 0.500 0.257 0.252
Se: 0.000 0.437 0.000
Se: 0.500 0.563 0.500
Se: 0.000 0.743 0.752

Values from the calculation:
Energy relative to the elements, uncorrected (eV/atom): 0.102
Symmetry: No. 59
Total DFT energy (no corrections) (eV per atom): -8.117
Energy relative to the lowest polymorph listed for this composition (eV/f.u.): 0.54



Density functional theory data (GGA-PBE) for crystalline WSe at its relaxed geometry.

a = 6.390 Å, b = 6.390 Å, c = 6.397 Å
α = 65.05°, β = 65.05°, γ = 28.67°
Fractional positions:
W: 0.630 0.630 0.587
W: 0.015 0.015 0.400
W: 0.708 0.708 0.129
Se: 0.310 0.310 0.337
Se: 0.099 0.099 0.956
Se: 0.404 0.404 0.758

Values from the calculation:
Energy relative to the elements, uncorrected (eV/atom): 0.141
Symmetry: No. 8
Total DFT energy (no corrections) (eV per atom): -8.078
Energy relative to the lowest polymorph listed for this composition (eV/f.u.): 0.62



Density functional theory data (GGA-PBE) for crystalline WSe at its relaxed geometry.

a = 4.467 Å, b = 3.124 Å, c = 5.235 Å
α = 90.00°, β = 90.00°, γ = 90.00°
Fractional positions:
W: 0.500 0.500 0.000
W: 0.000 0.000 0.000
Se: 0.000 0.000 0.500
Se: 0.500 0.500 0.500

Values from the calculation:
Energy relative to the elements, uncorrected (eV/atom): 0.841
Symmetry: No. 65
Total DFT energy (no corrections) (eV per atom): -7.378
Energy relative to the lowest polymorph listed for this composition (eV/f.u.): 2.02



Density functional theory data (GGA-PBE) for crystalline W2Se3 at its relaxed geometry.

a = 3.079 Å, b = 6.636 Å, c = 6.559 Å
α = 120.39°, β = 103.57°, γ = 90.00°
Fractional positions:
W: 0.118 0.123 0.237
W: 0.882 0.887 0.763
Se: 0.682 0.462 0.363
Se: 0.000 0.680 0.000
Se: 0.318 0.099 0.637

Values from the calculation:
Energy relative to the elements, uncorrected (eV/atom): 0.230
Symmetry: No. 44
Total DFT energy (no corrections) (eV per atom): -7.042
Energy relative to the lowest polymorph listed for this composition (eV/f.u.): 1.25



Density functional theory data (GGA-PBE) for crystalline WSe at its relaxed geometry.

a = 4.875 Å, b = 4.875 Å, c = 4.875 Å
α = 129.63°, β = 129.63°, γ = 74.01°
Fractional positions:
W: 0.750 0.250 0.500
W: 0.500 0.500 0.000
Se: 0.000 0.000 0.000
Se: 0.250 0.750 0.500

Values from the calculation:
Energy relative to the elements, uncorrected (eV/atom): 0.743
Symmetry: No. 141
Total DFT energy (no corrections) (eV per atom): -7.476
Energy relative to the lowest polymorph listed for this composition (eV/f.u.): 1.82



Density functional theory data (GGA-PBE) for crystalline WSe at its relaxed geometry.

a = 3.050 Å, b = 3.050 Å, c = 8.354 Å
α = 90.00°, β = 90.00°, γ = 90.00°
Fractional positions:
Se: 0.250 0.250 0.203
Se: 0.750 0.750 0.797
W: 0.750 0.750 0.379
W: 0.250 0.250 0.621

Values from the calculation:
Energy relative to the elements, uncorrected (eV/atom): 0.025
Symmetry: No. 129
Total DFT energy (no corrections) (eV per atom): -8.194
Energy relative to the lowest polymorph listed for this composition (eV/f.u.): 0.38



Density functional theory data (GGA-PBE) for crystalline W3Se at its relaxed geometry.

a = 5.564 Å, b = 5.564 Å, c = 4.436 Å
α = 90.00°, β = 90.00°, γ = 97.74°
Fractional positions:
Se: 0.376 0.624 0.250
Se: 0.624 0.376 0.750
W: 0.903 0.712 0.250
W: 0.189 0.811 0.750
W: 0.097 0.288 0.750
W: 0.288 0.097 0.250
W: 0.712 0.903 0.750
W: 0.811 0.189 0.250

Values from the calculation:
Energy relative to the elements, uncorrected (eV/atom): 0.602
Symmetry: No. 63
Total DFT energy (no corrections) (eV per atom): -9.984
Energy relative to the lowest polymorph listed for this composition (eV/f.u.): 0.82



Density functional theory data (GGA-PBE) for crystalline WSe at its relaxed geometry.

a = 3.113 Å, b = 3.113 Å, c = 12.923 Å
α = 90.00°, β = 90.00°, γ = 120.00°
Fractional positions:
Se: 0.667 0.333 0.526
Se: 0.000 0.000 0.193
Se: 0.333 0.667 0.860
W: 0.667 0.333 0.326
W: 0.333 0.667 0.660
W: 0.000 0.000 0.993

Values from the calculation:
Energy relative to the elements, uncorrected (eV/atom): 0.176
Symmetry: No. 160
Total DFT energy (no corrections) (eV per atom): -8.043
Energy relative to the lowest polymorph listed for this composition (eV/f.u.): 0.69